P:
# Zn3ReSe

A relaxed structure of Zn3ReSe (PBE-GGA, Alexandria via LeMat-Bulk).

Cell and atoms, written as POSCAR:
```
Zn3ReSe
1.0
4.927 0.000 0.000
0.000 4.927 0.000
0.000 0.000 4.927
Zn Re Se
3 1 1
Direct
0.000 0.000 0.500
0.000 0.500 0.000
0.500 0.000 0.000
0.000 0.000 0.000
0.500 0.500 0.500
```

## Properties
The mass density comes out at 6.41 g/cm³. The calculated volume comes out at 119.6 Å³ per cell.

Q:
# Zn3ReSe

A relaxed structure of Zn3ReSe (PBE-GGA, Alexandria via LeMat-Bulk).

Cell and atoms, written as POSCAR:
```
Zn3ReSe
1.0
4.773 0.000 0.000
0.000 4.773 0.000
0.000 0.000 4.773
Zn Re Se
3 1 1
Direct
0.000 0.000 0.500
0.000 0.500 0.000
0.500 0.000 0.000
0.500 0.500 0.500
0.000 0.000 0.000
```

## Properties
The mass density comes out at 7.04 g/cm³. The calculated volume comes out at 108.8 Å³ per cell.

Verdict on stability: Q comes out at the bottom.

P:
# Zr3ReSe

A relaxed structure of Zr3ReSe (PBE-GGA, Alexandria via LeMat-Bulk).

Cell and atoms, written as POSCAR:
```
Zr3ReSe
1.0
5.085 0.000 0.000
0.000 5.085 0.000
0.000 0.000 5.085
Zr Re Se
3 1 1
Direct
0.000 0.000 0.500
0.000 0.500 0.000
0.500 0.000 0.000
0.000 0.000 0.000
0.500 0.500 0.500
```

## Properties
The mass density comes out at 6.80 g/cm³. The calculated volume comes out at 131.5 Å³ per cell.

Q:
# Zr3ReSe

A relaxed structure of Zr3ReSe (PBE-GGA, Alexandria via LeMat-Bulk).

Cell and atoms, written as POSCAR:
```
Zr3ReSe
1.0
4.882 0.000 0.000
0.000 4.882 0.000
0.000 0.000 4.882
Zr Re Se
3 1 1
Direct
0.000 0.000 0.500
0.000 0.500 0.000
0.500 0.000 0.000
0.500 0.500 0.500
0.000 0.000 0.000
```

## Properties
The mass density comes out at 7.69 g/cm³. The calculated volume comes out at 116.4 Å³ per cell.

Verdict on stability: Q comes out at the bottom.

P:
# ZrRe3Se

A relaxed structure of ZrRe3Se (PBE-GGA, Alexandria via LeMat-Bulk).

Cell and atoms, written as POSCAR:
```
ZrRe3Se
1.0
4.544 0.000 0.000
0.000 4.544 0.000
0.000 0.000 4.544
Zr Re Se
1 3 1
Direct
0.000 0.000 0.000
0.000 0.500 0.500
0.500 0.000 0.500
0.500 0.500 0.000
0.500 0.500 0.500
```

## Properties
The mass density comes out at 12.90 g/cm³. The calculated volume comes out at 93.8 Å³ per cell.

Q:
# ZrRe3Se

A relaxed structure of ZrRe3Se (PBE-GGA, Alexandria via LeMat-Bulk).

Cell and atoms, written as POSCAR:
```
ZrRe3Se
1.0
4.841 0.000 0.000
0.000 4.841 0.000
0.000 0.000 4.841
Zr Re Se
1 3 1
Direct
0.000 0.000 0.000
0.000 0.000 0.500
0.000 0.500 0.000
0.500 0.000 0.000
0.500 0.500 0.500
```

## Properties
The mass density comes out at 10.66 g/cm³. The calculated volume comes out at 113.5 Å³ per cell.

Verdict on stability: Q comes out at the bottom.

P:
# Re3Si

A relaxed structure of Re3Si (PBE-GGA, Alexandria via LeMat-Bulk).

Cell and atoms, written as POSCAR:
```
Re3Si
1.0
2.576 -3.956 0.000
2.576 3.956 0.000
0.000 0.000 2.856
Re Si
3 1
Direct
0.000 0.000 0.000
0.000 0.500 0.500
0.500 0.000 0.500
0.500 0.500 0.000
```

## Properties
The mass density comes out at 16.74 g/cm³. The calculated volume comes out at 58.2 Å³ per cell.

Q:
# Re3Si

A relaxed structure of Re3Si (PBE-GGA, Alexandria via LeMat-Bulk).

Cell and atoms, written as POSCAR:
```
Re3Si
1.0
2.794 0.000 0.000
0.000 4.027 0.000
-1.050 0.000 5.123
Re Si
3 1
Direct
0.000 0.000 0.000
0.424 0.500 0.739
0.576 0.500 0.261
0.000 0.000 0.500
```

## Properties
The mass density comes out at 16.90 g/cm³. The calculated volume comes out at 57.6 Å³ per cell.

R:
# Re3Si

A relaxed structure of Re3Si (PBE-GGA, Alexandria via LeMat-Bulk).

Cell and atoms, written as POSCAR:
```
Re3Si
1.0
4.879 0.000 0.000
0.000 4.879 0.000
0.000 0.000 4.879
Re Si
6 2
Direct
0.000 0.250 0.500
0.000 0.750 0.500
0.250 0.500 0.000
0.500 0.000 0.250
0.500 0.000 0.750
0.750 0.500 0.000
0.000 0.000 0.000
0.500 0.500 0.500
```

## Properties
The mass density comes out at 16.78 g/cm³. The calculated volume comes out at 116.1 Å³ per cell.

Verdict on stability: R comes out at the bottom.